# 1
DFT (GGA-PBE) results for a geometry-optimized VTeAu2 structure.

Properties
Uncorrected energy (eV per formula unit): -17.972
SG: I-42d, No. 122
Crystal system: tetragonal
Total magnetic moment (Bohr magnetons per cell): 3.448

Cell: 7.8541 7.8541 6.1708 Å, 50.48 50.48 90.00°
With the nearest neighbours (Å) after each atom.
Fractional positions:
Au 0.8750 0.8615 0.7500  2 Au 2.70, 2 V 2.79, 2 Te 2.93
Au 0.1385 0.6250 0.2500  2 Au 2.70, 2 V 2.79, 2 Te 2.93
Au 0.3750 0.3885 0.7500  2 Au 2.70, 2 V 2.79, 2 Te 2.93
Au 0.6115 0.1250 0.2500  2 Au 2.70, 2 V 2.79, 2 Te 2.93
V 0.5000 0.5000 0.0000  2 Te 2.69, 4 Au 2.79
V 0.2500 0.7500 0.5000  2 Te 2.69, 4 Au 2.79
Te 0.7500 0.2500 0.5000  2 V 2.69, 4 Au 2.93
Te 0.0000 0.0000 0.0000  2 V 2.69, 4 Au 2.93

---

# 2
DFT (GGA-PBE) results for a geometry-optimized V2Te6Au structure.

Properties
Uncorrected energy (eV per formula unit): -42.370
SG: P-1, No. 2
Crystal system: triclinic
Total magnetic moment (Bohr magnetons per cell): 0.000

Cell: 3.7045 7.2647 8.9561 Å, 99.07 90.23 104.72°
With the nearest neighbours (Å) after each atom.
Fractional positions:
Te 0.6603 0.3175 0.1429  3 V 2.64-2.68
Te 0.9418 0.8815 0.1955  1 Au 2.72, 2 V 2.75
Te 0.6715 0.3491 0.5597  1 V 2.73, 1 Au 3.04
Te 0.3397 0.6825 0.8570  3 V 2.64-2.68
Te 0.0581 0.1185 0.8045  1 Au 2.72, 2 V 2.75
Te 0.3285 0.6509 0.4403  1 V 2.73, 1 Au 3.04
V 0.7041 0.4103 0.8686  6 Te 2.64-2.75
V 0.2959 0.5897 0.1315  6 Te 2.64-2.75
Au 0.0000 0.0000 0.5000  3 Te 2.72-3.04

---

# 3
DFT (GGA-PBE) results for a geometry-optimized VTe3Au structure.

Properties
Uncorrected energy (eV per formula unit): -19.902
SG: Pm-3m, No. 221
Crystal system: cubic
Total magnetic moment (Bohr magnetons per cell): 0.000

Cell: 5.1529 5.1529 5.1529 Å, 90.00 90.00 90.00°
With the nearest neighbours (Å) after each atom.
Fractional positions:
Te 0.5000 0.0000 0.0000  2 V 2.58
Te 0.0000 0.5000 0.0000  2 V 2.58
Te 0.0000 0.0000 0.5000  2 V 2.58
V 0.0000 0.0000 0.0000  6 Te 2.58
Au 0.5000 0.5000 0.5000  12 Te 3.64

---

# 4
DFT (GGA-PBE) results for a geometry-optimized VTe8Au2 structure.

Properties
Uncorrected energy (eV per formula unit): -40.447
SG: C2/m, No. 12
Crystal system: monoclinic
Total magnetic moment (Bohr magnetons per cell): 0.000

Cell: 5.8200 7.9425 7.9425 Å, 64.06 86.85 86.85°
With the nearest neighbours (Å) after each atom.
Fractional positions:
Te 0.7278 0.7005 0.1934  1 V 2.73, 1 Au 2.79, 1 Te 2.93
Te 0.2063 0.8209 0.8209  1 V 2.62, 1 Au 2.83
Te 0.7278 0.1934 0.7005  1 V 2.73, 1 Au 2.79, 1 Te 2.93
Te 0.8181 0.6132 0.6132  1 Au 2.71
Te 0.7937 0.1791 0.1791  1 V 2.62, 1 Au 2.83
Te 0.1819 0.3868 0.3868  1 Au 2.71
Te 0.2722 0.2995 0.8066  1 V 2.73, 1 Au 2.79, 1 Te 2.93
Te 0.2722 0.8066 0.2995  1 V 2.73, 1 Au 2.79, 1 Te 2.93
Au 0.6937 0.8105 0.8105  5 Te 2.71-3.00
Au 0.3063 0.1895 0.1895  5 Te 2.71-3.00
V 0.0000 0.0000 0.0000  6 Te 2.62-2.73